DFT (GGA+U) results for WO after structural relaxation.

a = 6.239 Å, b = 6.239 Å, c = 6.239 Å
α = 90.00°, β = 90.00°, γ = 90.00°
Fractional positions:
W  0.000  0.250  0.500
W  0.000  0.750  0.500
W  0.250  0.500  0.000
W  0.500  0.000  0.250
W  0.500  0.000  0.750
W  0.750  0.500  0.000
O  0.000  0.500  0.250
O  0.000  0.500  0.750
O  0.250  0.000  0.500
O  0.500  0.250  0.000
O  0.500  0.750  0.000
O  0.750  0.000  0.500

Computed properties:
DOS(E_F)   0.64 states/eV/f.u.
SG   Pm-3n
Total magnetic moment   1.70 μB per atom
ΔE to the lowest computed polymorph   825 meV/atom